No. 1
5
Lattice="-3.2657 1.9018 2.9694 2.8996 -0.8549 3.7363 2.2514 4.8583 -0.6356" Properties=species:S:1:pos:R:3 comment="PBE-GGA Ti2TlCdW, optimized geometry" e_form_ev_per_atom=0.8887 energy_ev_per_cell=-27.6 space_group="P4/mmm, No. 123" density_g_cm3=8.0 magmom_total_mub_per_cell=0.18 polymorph_energy_mev_per_atom=18 pbc="T T T"
Tl 1.1257 2.4292 -0.3178
Ti 1.4498 -0.4274 1.8682
Ti -1.6328 0.9509 1.4847
W 0.0000 0.0000 0.0000
Cd 0.9426 2.9526 3.0351

---

No. 2
5
Lattice="5.4338 0.0000 0.0000 0.0000 5.4338 0.0000 0.0000 0.0000 5.4338" Properties=species:S:1:pos:R:3 comment="PBE-GGA AcSb3Au, optimized geometry" energy_ev_per_cell=-20.5 e_form_raw_ev_per_atom=-0.1573 space_group="Pm-3m, No. 221" density_g_cm3=8.2 magmom_total_mub_per_cell=0.00 polymorph_energy_mev_per_atom=325 pbc="T T T"
Sb 0.0000 2.7169 0.0000
Sb 0.0000 0.0000 2.7169
Sb 2.7169 0.0000 0.0000
Ac 2.7169 2.7169 2.7169
Au 0.0000 0.0000 0.0000

---

No. 3
3
Lattice="-1.5951 3.3938 1.1777 -1.8065 -3.3998 0.7916 1.3911 -0.1798 2.4023" Properties=species:S:1:pos:R:3 comment="PBE-GGA SiNiRh, optimized geometry" energy_ev_per_cell=-20.1 e_form_raw_ev_per_atom=-0.5033 space_group="P3m1, No. 156" density_g_cm3=8.5 magmom_total_mub_per_cell=0.00 pbc="T T T"
Ni -0.3793 0.9630 3.2702
Si -0.4315 -1.3039 3.1730
Rh 0.5913 -0.0764 1.0211

---

No. 4
3
Lattice="1.9925 -1.7386 4.7634 -0.0134 2.6516 4.7594 -2.9609 -1.7425 -4.2284" Properties=species:S:1:pos:R:3 comment="PBE-GGA CdInRh, optimized geometry" e_form_ev_per_atom=-0.1453 energy_ev_per_cell=-11.4 space_group="Imm2, No. 44" density_g_cm3=9.7 magmom_total_mub_per_cell=0.00 pbc="T T T"
Cd 1.9591 0.9038 9.4267
In 1.3556 0.6254 6.5229
Rh 0.6434 0.2968 3.0961

---

No. 5
11
Lattice="-1.6831 -3.3622 -2.0347 4.7355 0.2426 -4.3181 2.6617 -5.6257 2.6030" Properties=species:S:1:pos:R:3 comment="PBE-GGA Ti6Ir5, optimized geometry" e_form_ev_per_atom=-0.7518 energy_ev_per_cell=-99.9 space_group="Cmmm, No. 65" density_g_cm3=11.8 magmom_total_mub_per_cell=0.00 pbc="T T T"
Ti 0.2551 -1.6249 -2.0173
Ti 5.4590 -7.1204 -1.7324
Ti 2.6847 -4.3033 0.3988
Ti 5.1294 -4.1780 -1.8305
Ti 3.0294 -4.4420 -4.1485
Ti 0.5847 -4.5673 -1.9193
Ir 2.3677 0.1213 -2.1590
Ir 0.3248 -2.9945 0.1880
Ir 5.3893 -5.7509 -3.9377
Ir 2.9974 -5.8450 -1.8036
Ir 2.7167 -2.9003 -1.9461

---

No. 6
8
Lattice="-6.5739 -1.3468 -2.9697 -1.7471 -6.8025 -2.1141 -5.2608 -3.9629 4.3656" Properties=species:S:1:pos:R:3 comment="PBE-GGA PuCuI6, optimized geometry" energy_ev_per_cell=-31.6 e_form_raw_ev_per_atom=-0.4866 space_group="R-3, No. 148" density_g_cm3=5.7 magmom_total_mub_per_cell=2.91 pbc="T T T"
Pu -6.7909 -6.0561 -0.3591
Cu 0.0000 0.0000 0.0000
I -5.2835 -5.8008 2.2059
I -9.1232 -4.6543 0.8690
I -5.6903 -3.4317 -1.2646
I -4.4586 -7.4580 -1.5873
I -8.2983 -6.3114 -2.9242
I -7.8915 -8.6805 0.5464

---

No. 7
4
Lattice="-5.5609 0.1727 0.9774 -1.9935 -1.0848 5.1728 -2.1920 4.1718 3.1143" Properties=species:S:1:pos:R:3 comment="PBE-GGA NaSrTbIn, optimized geometry" e_form_ev_per_atom=-0.1161 energy_ev_per_cell=-10.8 space_group="F-43m, No. 216" density_g_cm3=5.0 magmom_total_mub_per_cell=0.00 pbc="T T T"
Na -2.4366 0.8149 2.3161
Sr 0.0000 0.0000 0.0000
Tb -4.8732 1.6299 4.6323
In -7.3098 2.4448 6.9484

---

No. 8
8
Lattice="9.1706 0.0000 0.0000 0.0000 9.1706 0.0000 4.5853 4.5853 3.2410" Properties=species:S:1:pos:R:3 comment="PBE-GGA KSrAl2, optimized geometry" e_form_ev_per_atom=0.4913 energy_ev_per_cell=-16.6 space_group="I-42d, No. 122" density_g_cm3=2.2 magmom_total_mub_per_cell=0.00 polymorph_energy_mev_per_atom=410 pbc="T T T"
Sr 0.0000 0.0000 0.0000
Sr 9.1706 4.5853 1.6205
K 4.5853 4.5853 0.0000
K 4.5853 9.1706 1.6205
Al 6.9278 2.2927 0.8103
Al 2.2428 6.8780 0.8103
Al 6.8780 6.8281 2.4308
Al 11.4633 11.5131 2.4308

---

No. 9
5
Lattice="-1.4504 1.7057 5.1324 2.0114 -4.7625 2.1512 5.0205 2.4008 0.6208" Properties=species:S:1:pos:R:3 comment="PBE-GGA Pu4Mg, optimized geometry" e_form_ev_per_atom=1.1614 energy_ev_per_cell=-53.1 space_group="Pm-3m, No. 221" density_g_cm3=9.5 magmom_total_mub_per_cell=13.51 pbc="T T T"
Mg 2.7908 -0.3280 3.9522
Pu 0.0000 0.0000 0.0000
Pu 1.7851 2.0533 2.8766
Pu 3.5159 -1.1809 1.3860
Pu 0.2805 -1.5284 3.6418

---

No. 10
28
Lattice="9.5765 0.0000 0.0000 0.0000 9.5765 0.0000 0.0000 0.0000 13.6239" Properties=species:S:1:pos:R:3 comment="PBE-GGA Na2SrI4, optimized geometry" energy_ev_per_cell=-82.3 e_form_raw_ev_per_atom=-1.4376 space_group="P4_122, No. 91" density_g_cm3=3.4 magmom_total_mub_per_cell=0.00 polymorph_energy_mev_per_atom=0 pbc="T T T"
Na 7.1843 7.1843 11.9209
Na 2.3922 7.1843 1.7030
Na 7.1843 2.3922 8.5149
Na 2.3922 2.3922 5.1090
Na 7.0490 4.7882 3.4060
Na 4.7882 2.5275 0.0000
Na 4.7882 7.0490 6.8119
Na 2.5275 4.7882 10.2179
Sr 0.0000 7.0623 6.8119
Sr 2.5142 0.0000 10.2179
Sr 7.0623 0.0000 3.4060
Sr 0.0000 2.5142 0.0000
I 2.3956 9.3907 6.9034
I 7.1809 9.3907 6.7205
I 0.1858 2.3956 10.3094
I 7.1809 0.1858 0.0915
I 2.4115 4.7188 13.4737
I 4.8577 2.4115 3.2558
I 4.7188 7.1650 10.0678
I 2.4115 4.8577 6.9621
I 7.1650 4.7188 0.1501
I 7.1650 4.8577 6.6618
I 4.7188 2.4115 10.3680
I 4.8577 7.1650 3.5561
I 9.3907 2.3956 3.3145
I 2.3956 0.1858 13.5324
I 9.3907 7.1809 3.4974
I 0.1858 7.1809 10.1264

---

No. 11
7
Lattice="-2.2677 -3.8058 0.2132 0.1348 -0.3280 -4.4212 7.8613 -1.9535 2.6094" Properties=species:S:1:pos:R:3 comment="PBE-GGA CaAc2Se2O2, optimized geometry" energy_ev_per_cell=-44.8 e_form_raw_ev_per_atom=-2.5347 space_group="I4/mmm, No. 139" density_g_cm3=7.3 magmom_total_mub_per_cell=0.00 pbc="T T T"
Ca 0.0000 0.0000 0.0000
Ac 5.2082 -3.0816 0.3874
Ac 0.5202 -3.0057 -1.9860
Se 2.4659 -1.4590 0.1834
Se 3.2625 -4.6283 -1.7820
O 0.0674 -0.1640 -2.2106
O -1.1339 -1.9029 0.1066

---

No. 12
4
Lattice="-3.1656 -2.2413 1.5707 -2.8162 -1.7284 -2.5677 3.7348 -9.8130 -0.9006" Properties=species:S:1:pos:R:3 comment="PBE-GGA RbGa2Se, optimized geometry" energy_ev_per_cell=-10.8 e_form_raw_ev_per_atom=-0.0665 space_group="R-3m, No. 166" density_g_cm3=3.2 magmom_total_mub_per_cell=0.00 pbc="T T T"
Ga 1.6931 -6.7872 -0.6981
Ga -3.9401 -6.9955 -1.1995
Se -1.1235 -6.8914 -0.9488
Rb 0.0000 0.0000 0.0000